1.
An optimized crystal structure of BaMn2Be. Source: Alexandria, functional PBE-GGA.

Cell lengths 4.875, 4.875, 3.389 Å; angles 90.00, 90.00, 90.00 degrees
Sites, in units of the cell vectors:
Ba  0.000  0.000  0.000
Mn  0.000  0.500  0.500
Mn  0.500  0.000  0.500
Be  0.500  0.500  0.000

Electronic total energy in eV/atom: -4.859
Density of states at the Fermi level in states/eV per atom: 0.685
Total magnetization in μB per atom: 1.7403
Symmetry: No. 123

2.
An optimized crystal structure of TeAuSe2. Source: Alexandria, functional PBE-GGA.

Cell lengths 4.985, 4.985, 3.540 Å; angles 90.00, 90.00, 90.07 degrees
Sites, in units of the cell vectors:
Te  0.000  0.000  0.000
Au  0.500  0.500  0.000
Se  0.000  0.500  0.500
Se  0.500  0.000  0.500

Offset from the most stable computed form in meV/atom: 428
Formation energy from raw total energies in eV per atom: 0.458
Density of states at the Fermi level in states/eV per atom: 0.820
Total magnetization in μB per atom: 0.0001
Symmetry: No. 65

3.
An optimized crystal structure of KIrOs. Source: Alexandria, functional PBE-GGA.

Cell lengths 6.823, 4.268, 12.101 Å; angles 90.00, 90.00, 90.00 degrees
Sites, in units of the cell vectors:
K  0.131  0.250  0.153
K  0.369  0.750  0.653
K  0.631  0.250  0.347
K  0.869  0.750  0.847
Ir  0.176  0.250  0.457
Ir  0.324  0.750  0.957
Ir  0.676  0.250  0.043
Ir  0.824  0.750  0.543
Os  0.062  0.750  0.396
Os  0.438  0.250  0.896
Os  0.562  0.750  0.104
Os  0.938  0.250  0.604

Offset from the most stable computed form in meV/atom: 548
Density of states at the Fermi level in states/eV per atom: 0.805
Total magnetization in μB per atom: 0.1953
Symmetry: No. 62

4.
An optimized crystal structure of Pr2SmY5Sc. Source: Alexandria, functional PBE-GGA.

Cell lengths 10.415, 10.415, 10.482 Å; angles 90.00, 90.00, 148.69 degrees
Sites, in units of the cell vectors:
Pr  0.112  0.888  0.500
Pr  0.116  0.884  0.920
Pr  0.884  0.116  0.420
Pr  0.888  0.112  0.000
Sm  0.410  0.590  0.641
Sm  0.590  0.410  0.141
Y  0.016  0.984  0.203
Y  0.273  0.727  0.515
Y  0.297  0.703  0.886
Y  0.370  0.630  0.205
Y  0.482  0.518  0.925
Y  0.518  0.482  0.425
Y  0.630  0.370  0.705
Y  0.703  0.297  0.386
Y  0.727  0.273  0.015
Y  0.984  0.016  0.703
Sc  0.193  0.807  0.201
Sc  0.807  0.193  0.701

Electronic total energy in eV/atom: -5.731
Density of states at the Fermi level in states/eV per atom: 1.431
Total magnetization in μB per atom: 0.0000
Symmetry: No. 36

5.
An optimized crystal structure of AlPdSN2. Source: Alexandria, functional PBE-GGA.

Cell lengths 3.681, 3.681, 5.095 Å; angles 90.00, 90.00, 90.00 degrees
Sites, in units of the cell vectors:
Al  0.000  0.000  0.000
Pd  0.500  0.500  0.500
S  0.000  0.000  0.500
N  0.000  0.500  0.000
N  0.500  0.000  0.000

Offset from the most stable computed form in meV/atom: 0
Formation energy from raw total energies in eV per atom: 0.756
Density of states at the Fermi level in states/eV per atom: 0.651
Total magnetization in μB per atom: 0.3754
Symmetry: No. 123

6.
An optimized crystal structure of MgZr2SnO. Source: Alexandria, functional PBE-GGA.

Cell lengths 4.607, 4.607, 4.207 Å; angles 90.00, 90.00, 90.00 degrees
Sites, in units of the cell vectors:
Mg  0.000  0.000  0.000
Zr  0.000  0.500  0.500
Zr  0.500  0.000  0.500
Sn  0.500  0.500  0.000
O  0.000  0.000  0.500

Formation energy from raw total energies in eV per atom: -1.078
Density of states at the Fermi level in states/eV per atom: 0.839
Total magnetization in μB per atom: 0.0000
Symmetry: No. 123

| no. | mass density (g/cm3) |
| --- | --- |
| 1 | 5.28 |
| 2 | 9.11 |
| 3 | 7.95 |
| 4 | 5.18 |
| 5 | 4.65 |
| 6 | 6.35 |